(1)
First-principles (PBE) data for an optimized crystal structure of Tb2CeIn, as listed in the Alexandria database.

Calculated values
* crystal system: monoclinic
* space group: P2_1/m (11)
* excess energy over the best structure of this formula in the dataset: 0.1336 eV/atom

a b c (Å): 4.748 4.833 11.290
angles (deg): 90.00 102.30 90.00
Fractional coordinates of all 8 atoms:
Tb 0.559 0.250 0.116
Tb 0.441 0.750 0.884
Tb 0.065 0.750 0.127
Tb 0.935 0.250 0.873
Ce 0.695 0.750 0.387
Ce 0.305 0.250 0.613
In 0.164 0.250 0.323
In 0.836 0.750 0.677

=====

(2)
First-principles (PBE) data for an optimized crystal structure of Tb12CeIn6, as listed in the Alexandria database.

Calculated values
* crystal system: trigonal
* calculated total energy: -78.54 eV/cell
* space group: R-3m (166)

a b c (Å): 8.901 8.901 8.901
angles (deg): 103.12 103.12 103.12
Fractional coordinates of all 19 atoms:
Tb 0.877 0.123 0.500
Tb 0.820 0.551 0.551
Tb 0.551 0.551 0.820
Tb 0.449 0.180 0.449
Tb 0.449 0.449 0.180
Tb 0.180 0.449 0.449
Tb 0.123 0.500 0.877
Tb 0.500 0.877 0.123
Tb 0.123 0.877 0.500
Tb 0.877 0.500 0.123
Tb 0.500 0.123 0.877
Tb 0.551 0.820 0.551
Ce 0.000 0.000 0.000
In 0.699 0.242 0.242
In 0.242 0.242 0.699
In 0.242 0.699 0.242
In 0.758 0.758 0.301
In 0.301 0.758 0.758
In 0.758 0.301 0.758

=====

(3)
First-principles (PBE) data for an optimized crystal structure of Tb2CeIn, as listed in the Alexandria database.

Calculated values
* crystal system: tetragonal
* space group: P4/mmm (123)
* excess energy over the best structure of this formula in the dataset: 0.0000 eV/atom

a b c (Å): 4.694 4.915 4.915
angles (deg): 90.00 90.00 90.00
Fractional coordinates of all 4 atoms:
Tb 0.000 0.000 0.500
Tb 0.000 0.500 0.000
Ce 0.500 0.500 0.500
In 0.500 0.000 0.000

=====

(4)
First-principles (PBE) data for an optimized crystal structure of TbCe3In6, as listed in the Alexandria database.

Calculated values
* crystal system: trigonal
* calculated total energy: -38.05 eV/cell
* space group: R3m (160)

a b c (Å): 3.293 11.454 11.454
angles (deg): 119.09 95.50 95.50
Fractional coordinates of all 10 atoms:
Tb 0.794 0.000 0.000
Ce 0.671 0.709 0.000
Ce 0.671 0.000 0.709
Ce 0.962 0.291 0.291
In 0.381 0.000 0.235
In 0.381 0.235 0.000
In 0.037 0.000 0.456
In 0.037 0.456 0.000
In 0.581 0.544 0.544
In 0.146 0.765 0.765

=====

(5)
First-principles (PBE) data for an optimized crystal structure of Tb2CeIn, as listed in the Alexandria database.

Calculated values
* crystal system: trigonal
* space group: R3m (160)
* excess energy over the best structure of this formula in the dataset: 0.1314 eV/atom

a b c (Å): 3.538 3.538 11.190
angles (deg): 80.90 80.90 60.00
Fractional coordinates of all 4 atoms:
Tb 0.079 0.079 0.764
Tb 0.255 0.255 0.236
Ce 0.500 0.500 0.501
In 0.667 0.667 0.000

=====

(6)
First-principles (PBE) data for an optimized crystal structure of TbCeIn, as listed in the Alexandria database.

Calculated values
* crystal system: tetragonal
* space group: I4mm (107)
* excess energy over the best structure of this formula in the dataset: 0.0557 eV/atom

a b c (Å): 3.472 3.472 7.631
angles (deg): 103.15 103.15 90.00
Fractional coordinates of all 3 atoms:
Tb 0.271 0.271 0.542
Ce 0.960 0.960 0.920
In 0.619 0.619 0.238

=====

(7)
First-principles (PBE) data for an optimized crystal structure of Tb4CeIn, as listed in the Alexandria database.

Calculated values
* crystal system: orthorhombic
* calculated total energy: -55.61 eV/cell
* space group: Cmc2_1 (36)

a b c (Å): 4.830 9.961 7.786
angles (deg): 90.00 108.07 90.00
Fractional coordinates of all 12 atoms:
Tb 0.999 0.197 0.998
Tb 0.001 0.697 0.002
Tb 0.493 0.949 0.987
Tb 0.507 0.449 0.013
Tb 0.825 0.446 0.650
Tb 0.175 0.946 0.350
Tb 0.669 0.193 0.338
Tb 0.331 0.693 0.662
Ce 0.669 0.703 0.338
Ce 0.331 0.203 0.662
In 0.835 0.946 0.670
In 0.165 0.446 0.330

=====

(8)
First-principles (PBE) data for an optimized crystal structure of TbCeIn, as listed in the Alexandria database.

Calculated values
* crystal system: trigonal
* space group: P-3m1 (164)
* excess energy over the best structure of this formula in the dataset: 0.1954 eV/atom

a b c (Å): 5.313 5.313 6.887
angles (deg): 90.00 90.00 120.00
Fractional coordinates of all 6 atoms:
Ce 0.667 0.333 0.446
Ce 0.333 0.667 0.554
Tb 0.000 0.000 0.250
Tb 0.000 0.000 0.750
In 0.667 0.333 0.920
In 0.333 0.667 0.080